This record from the Alexandria database describes a relaxed structure of CaSe2SCl. The functional is GGA-PBEsol.

- formation energy without anion corrections (kcal/mol of atoms) = 3.88

a = 5.4773 Å, b = 5.4773 Å, c = 4.9078 Å
α = 90.00°, β = 90.00°, γ = 90.00°
Last column: nearest neighbours and their distance in Å.
Space group P4/mmm (No. 123)
Asymmetric unit:
Ca1 0.0000 0.0000 0.0000 (multiplicity 1)  2 Cl 2.45, 4 Se 2.74
Se1 0.0000 0.5000 0.0000 (multiplicity 2)  2 Ca 2.74
S1 0.5000 0.5000 0.5000 (multiplicity 1)  8 Se 3.68, 4 Cl 3.87
Cl1 0.0000 0.0000 0.5000 (multiplicity 1)  2 Ca 2.45

---

This record from the Alexandria database describes a relaxed structure of CaSnSCl2. The functional is GGA-PBEsol.

- formation energy without anion corrections (kcal/mol of atoms) = -20.45

a = 5.2040 Å, b = 5.2040 Å, c = 5.3585 Å
α = 90.00°, β = 90.00°, γ = 90.00°
Last column: nearest neighbours and their distance in Å.
Space group P4/mmm (No. 123)
Asymmetric unit:
Ca1 0.0000 0.0000 0.0000 (multiplicity 1)  4 S 3.68, 8 Cl 3.73
Sn1 0.5000 0.5000 0.5000 (multiplicity 1)  4 Cl 2.60, 2 S 2.68
S1 0.5000 0.5000 0.0000 (multiplicity 1)  2 Sn 2.68
Cl1 0.0000 0.5000 0.5000 (multiplicity 2)  2 Sn 2.60

---

This record from the Alexandria database describes a relaxed structure of CaWSCl2. The functional is GGA-PBEsol.

- formation energy without anion corrections (kcal/mol of atoms) = -12.09

a = 4.8097 Å, b = 4.8097 Å, c = 4.6235 Å
α = 90.00°, β = 90.00°, γ = 90.00°
Last column: nearest neighbours and their distance in Å.
Space group P4/mmm (No. 123)
Asymmetric unit:
Ca1 0.0000 0.0000 0.0000 (multiplicity 1)  8 Cl 3.34, 4 S 3.40
W1 0.5000 0.5000 0.5000 (multiplicity 1)  2 S 2.31, 4 Cl 2.40
S1 0.5000 0.5000 0.0000 (multiplicity 1)  2 W 2.31
Cl1 0.0000 0.5000 0.5000 (multiplicity 2)  2 W 2.40

---

This record from the Alexandria database describes a relaxed structure of CaYSCl2. The functional is GGA-PBEsol.

- formation energy without anion corrections (kcal/mol of atoms) = -30.39

a = 4.9636 Å, b = 4.9636 Å, c = 5.3607 Å
α = 90.00°, β = 90.00°, γ = 90.00°
Last column: nearest neighbours and their distance in Å.
Space group P4/mmm (No. 123)
Asymmetric unit:
Ca1 0.0000 0.0000 0.0000 (multiplicity 1)  4 Cl 2.48, 2 S 2.68
Y1 0.5000 0.5000 0.5000 (multiplicity 1)  4 S 3.51, 8 Cl 3.65
S1 0.0000 0.0000 0.5000 (multiplicity 1)  2 Ca 2.68
Cl1 0.0000 0.5000 0.0000 (multiplicity 2)  2 Ca 2.48

---

This record from the Alexandria database describes a relaxed structure of CaSb2Cl2. The functional is GGA-PBEsol.

- formation energy without anion corrections (kcal/mol of atoms) = -17.29

a = 6.8459 Å, b = 6.8459 Å, c = 6.9474 Å
α = 90.00°, β = 90.00°, γ = 90.00°
Last column: nearest neighbours and their distance in Å.
Space group P4/mbm (No. 127)
Asymmetric unit:
Ca1 0.0000 0.0000 0.0000 (multiplicity 2)  4 Cl 2.54
Sb1 0.1390 0.3610 0.5000 (multiplicity 4)  1 Sb 2.69
Cl1 0.1691 0.6691 0.0000 (multiplicity 4)  2 Ca 2.54

---

This record from the Alexandria database describes a relaxed structure of CaSbCl2. The functional is GGA-PBEsol.

- ΔE to the lowest computed polymorph (meV per atom) = 0
- formation energy without anion corrections (kcal/mol of atoms) = -30.64

a = 3.6212 Å, b = 3.6212 Å, c = 33.3079 Å
α = 90.00°, β = 90.00°, γ = 120.00°
Last column: nearest neighbours and their distance in Å.
Space group R-3m (No. 166, hexagonal axes)
Asymmetric unit:
Ca1 0.0000 0.0000 0.0000 (multiplicity 3)  6 Cl 2.64
Sb1 0.0000 0.0000 0.5000 (multiplicity 3)  6 Sb 3.62
Cl1 0.0000 0.0000 0.2848 (multiplicity 6)  3 Ca 2.64

---

This record from the Alexandria database describes a relaxed structure of CaSbCl2. The functional is GGA-PBEsol.

- ΔE to the lowest computed polymorph (meV per atom) = 406
- formation energy without anion corrections (kcal/mol of atoms) = -21.29

a = 4.6789 Å, b = 4.6789 Å, c = 4.2739 Å
α = 90.00°, β = 90.00°, γ = 90.00°
Last column: nearest neighbours and their distance in Å.
Space group P4/mmm (No. 123)
Asymmetric unit:
Ca1 0.0000 0.0000 0.0000 (multiplicity 1)  8 Cl 3.17, 4 Sb 3.31
Sb1 0.5000 0.5000 0.0000 (multiplicity 1)  8 Cl 3.17, 4 Ca 3.31
Cl1 0.0000 0.5000 0.5000 (multiplicity 2)  4 Sb 3.17, 4 Ca 3.17, 4 Cl 3.31

---

This record from the Alexandria database describes a relaxed structure of SrCaSbCl2. The functional is GGA-PBEsol.

- formation energy without anion corrections (kcal/mol of atoms) = -32.78

a = 5.1115 Å, b = 5.1115 Å, c = 6.2560 Å
α = 90.00°, β = 90.00°, γ = 90.00°
Last column: nearest neighbours and their distance in Å.
Space group P4/mmm (No. 123)
Asymmetric unit:
Sr1 0.0000 0.0000 0.0000 (multiplicity 1)  4 Sb 3.61, 8 Cl 4.04
Ca1 0.5000 0.5000 0.5000 (multiplicity 1)  4 Cl 2.56
Sb1 0.5000 0.5000 0.0000 (multiplicity 1)  2 Ca 3.13
Cl1 0.0000 0.5000 0.5000 (multiplicity 2)  2 Ca 2.56

---

This record from the Alexandria database describes a relaxed structure of Ca2ScCl. The functional is GGA-PBEsol.

- ΔE to the lowest computed polymorph (meV per atom) = 0
- formation energy without anion corrections (kcal/mol of atoms) = -11.79

a = 12.0791 Å, b = 3.4696 Å, c = 6.0406 Å
α = 90.00°, β = 116.35°, γ = 90.00°
Last column: nearest neighbours and their distance in Å.
Space group Cm (No. 8)
Asymmetric unit:
Ca1 0.0000 0.0000 0.0000 (multiplicity 2)  2 Cl 2.84
Ca2 0.1871 0.0000 0.6619 (multiplicity 2)  3 Cl 3.13-3.43, 2 Ca 3.47
Sc1 0.2882 0.5000 0.2436 (multiplicity 2)  2 Cl 2.66
Cl1 0.4275 0.0000 0.5876 (multiplicity 2)  2 Sc 2.66, 2 Ca 2.84

---

This record from the Alexandria database describes a relaxed structure of Ca2ScCl. The functional is GGA-PBEsol.

- ΔE to the lowest computed polymorph (meV per atom) = 91
- formation energy without anion corrections (kcal/mol of atoms) = -9.68

a = 3.4994 Å, b = 6.4085 Å, c = 10.6596 Å
α = 90.00°, β = 90.00°, γ = 90.00°
Last column: nearest neighbours and their distance in Å.
Space group Immm (No. 71)
Asymmetric unit:
Ca1 0.0000 0.0000 0.2033 (multiplicity 4)  2 Cl 2.79
Sc1 0.0000 0.5000 0.0000 (multiplicity 2)  2 Sc 3.50, 8 Ca 3.61-3.87, 4 Cl 3.65
Cl1 0.0000 0.5000 0.5000 (multiplicity 2)  4 Ca 2.79

---

This record from the Alexandria database describes a relaxed structure of Ca2ScCl. The functional is GGA-PBEsol.

- ΔE to the lowest computed polymorph (meV per atom) = 135
- formation energy without anion corrections (kcal/mol of atoms) = -8.68

a = 3.5842 Å, b = 5.8083 Å, c = 5.9161 Å
α = 90.00°, β = 90.09°, γ = 90.00°
Last column: nearest neighbours and their distance in Å.
Space group Pm (No. 6)
Asymmetric unit:
Ca1 0.0000 0.0000 0.0000 (multiplicity 1)  4 Sc 3.42-3.50, 4 Ca 3.58-3.70, 4 Cl 3.73-3.77
Ca2 0.0122 0.5000 0.6119 (multiplicity 1)  2 Cl 2.74
Sc1 0.5057 0.0000 0.5059 (multiplicity 1)  2 Cl 3.24, 8 Ca 3.42-3.50, 2 Sc 3.58
Cl1 0.5112 0.5000 0.2620 (multiplicity 1)  2 Ca 2.74

---

This record from the Alexandria database describes a relaxed structure of CaScCl2. The functional is GGA-PBEsol.

- ΔE to the lowest computed polymorph (meV per atom) = 0
- formation energy without anion corrections (kcal/mol of atoms) = -29.38

a = 3.4572 Å, b = 3.4572 Å, c = 25.1257 Å
α = 90.00°, β = 90.00°, γ = 120.00°
Last column: nearest neighbours and their distance in Å.
Space group R-3m (No. 166, hexagonal axes)
Asymmetric unit:
Ca1 0.0000 0.0000 0.0000 (multiplicity 3)  6 Cl 3.17, 6 Ca 3.46
Sc1 0.0000 0.0000 0.5000 (multiplicity 3)  6 Cl 2.64
Cl1 0.0000 0.0000 0.2353 (multiplicity 6)  3 Sc 2.64

---

This record from the Alexandria database describes a relaxed structure of CaScCl2. The functional is GGA-PBEsol.

- ΔE to the lowest computed polymorph (meV per atom) = 8
- formation energy without anion corrections (kcal/mol of atoms) = -29.20

a = 8.0716 Å, b = 3.4413 Å, c = 6.0069 Å
α = 90.00°, β = 104.65°, γ = 90.00°
Last column: nearest neighbours and their distance in Å.
Space group C2/m (No. 12)
Asymmetric unit:
Ca1 0.0000 0.0000 0.0000 (multiplicity 2)  6 Cl 2.85-2.88
Sc1 0.0000 0.5000 0.5000 (multiplicity 2)  6 Cl 2.70-2.76
Cl1 0.2415 0.0000 0.7262 (multiplicity 4)  3 Sc 2.70-2.76, 3 Ca 2.85-2.88

---

This record from the Alexandria database describes a relaxed structure of CaScCl2. The functional is GGA-PBEsol.

- ΔE to the lowest computed polymorph (meV per atom) = 230
- formation energy without anion corrections (kcal/mol of atoms) = -24.07

a = 4.7067 Å, b = 4.7067 Å, c = 3.3059 Å
α = 90.00°, β = 90.00°, γ = 90.00°
Last column: nearest neighbours and their distance in Å.
Space group P4/mmm (No. 123)
Asymmetric unit:
Ca1 0.0000 0.0000 0.0000 (multiplicity 1)  8 Cl 2.88
Sc1 0.5000 0.5000 0.0000 (multiplicity 1)  8 Cl 2.88
Cl1 0.0000 0.5000 0.5000 (multiplicity 2)  4 Ca 2.88, 4 Sc 2.88

---

This record from the Alexandria database describes a relaxed structure of CaScCl. The functional is GGA-PBEsol.

- formation energy without anion corrections (kcal/mol of atoms) = -20.34

a = 3.5339 Å, b = 3.5339 Å, c = 6.5339 Å
α = 90.00°, β = 90.00°, γ = 120.00°
Last column: nearest neighbours and their distance in Å.
Space group P3m1 (No. 156)
Asymmetric unit:
Ca1 0.0000 0.0000 0.0000 (multiplicity 1)  3 Cl 2.90
Sc1 0.3333 0.6667 0.4121 (multiplicity 1)  3 Cl 2.70
Cl1 0.6667 0.3333 0.6839 (multiplicity 1)  3 Sc 2.70, 3 Ca 2.90

---

This record from the Alexandria database describes a relaxed structure of Ca3SeCl. The functional is GGA-PBEsol.

- formation energy without anion corrections (kcal/mol of atoms) = -16.43

a = 5.2025 Å, b = 5.2025 Å, c = 5.2025 Å
α = 90.00°, β = 90.00°, γ = 90.00°
Last column: nearest neighbours and their distance in Å.
Space group Pm-3m (No. 221)
Asymmetric unit:
Ca1 0.0000 0.0000 0.5000 (multiplicity 3)  2 Cl 2.60
Se1 0.5000 0.5000 0.5000 (multiplicity 1)  12 Ca 3.68
Cl1 0.0000 0.0000 0.0000 (multiplicity 1)  6 Ca 2.60

---

This record from the Alexandria database describes a relaxed structure of Ca2ZnSeCl. The functional is GGA-PBEsol.

- formation energy without anion corrections (kcal/mol of atoms) = -11.99

a = 5.5236 Å, b = 5.5236 Å, c = 4.5873 Å
α = 90.00°, β = 90.00°, γ = 90.00°
Last column: nearest neighbours and their distance in Å.
Space group P4/mmm (No. 123)
Asymmetric unit:
Ca1 0.0000 0.5000 0.0000 (multiplicity 2)  2 Zn 2.76
Zn1 0.0000 0.0000 0.0000 (multiplicity 1)  2 Cl 2.29
Se1 0.5000 0.5000 0.5000 (multiplicity 1)  8 Ca 3.59, 4 Cl 3.91
Cl1 0.0000 0.0000 0.5000 (multiplicity 1)  2 Zn 2.29

---

This record from the Alexandria database describes a relaxed structure of CaSiCl2. The functional is GGA-PBEsol.

- ΔE to the lowest computed polymorph (meV per atom) = 13
- formation energy without anion corrections (kcal/mol of atoms) = -20.83

a = 3.4732 Å, b = 4.2340 Å, c = 5.7710 Å
α = 90.00°, β = 90.00°, γ = 90.00°
Last column: nearest neighbours and their distance in Å.
Space group Pmmm (No. 47)
Asymmetric unit:
Ca1 0.0000 0.0000 0.0000 (multiplicity 1)  4 Cl 2.74
Si1 0.5000 0.0000 0.5000 (multiplicity 1)  4 Cl 2.74
Cl1 0.0000 0.5000 0.5000 (multiplicity 1)  4 Si 2.74
Cl2 0.5000 0.5000 0.0000 (multiplicity 1)  4 Ca 2.74

---

This record from the Alexandria database describes a relaxed structure of CaSiCl2. The functional is GGA-PBEsol.

- ΔE to the lowest computed polymorph (meV per atom) = 56
- formation energy without anion corrections (kcal/mol of atoms) = -19.82

a = 5.4344 Å, b = 5.4344 Å, c = 6.5042 Å
α = 90.00°, β = 90.00°, γ = 90.00°
Last column: nearest neighbours and their distance in Å.
Space group I4/mmm (No. 139)
Asymmetric unit:
Ca1 0.0000 0.0000 0.0000 (multiplicity 2)  4 Cl 2.72
Si1 0.0000 0.0000 0.5000 (multiplicity 2)  4 Cl 2.72
Cl1 0.0000 0.5000 0.0000 (multiplicity 4)  2 Si 2.72, 2 Ca 2.72

---

This record from the Alexandria database describes a relaxed structure of CaSi2Cl. The functional is GGA-PBEsol.

- formation energy without anion corrections (kcal/mol of atoms) = -13.13

a = 12.1497 Å, b = 3.7190 Å, c = 3.7171 Å
α = 90.00°, β = 95.97°, γ = 90.00°
Last column: nearest neighbours and their distance in Å.
Space group C2/m (No. 12)
Asymmetric unit:
Ca1 0.0000 0.0000 0.0000 (multiplicity 2)  4 Cl 2.63
Si1 0.2496 0.0000 0.7932 (multiplicity 4)  2 Si 2.41
Cl1 0.0000 0.5000 0.5000 (multiplicity 2)  4 Ca 2.63